# ErPaTe

ErPaTe after structural relaxation (PBE, the Alexandria database).

Its density is 10.5 g cm⁻³. The value obtained for the energy above the most stable polymorph in this dataset is 65 kJ/mol of formula units. The calculation puts the uncorrected formation energy at -0.13 eV/atom.

The structure belongs to space group P-6m2 (No. 187); the cell edges are 5.1430, 5.1430 and 3.6410 Å and the angles 90.00°, 90.00° and 120.00°. The inequivalent atoms are Er at (0.0000, 0.0000, 0.0000), Pa at (0.3333, 0.6667, 0.5000) and Te at (0.6667, 0.3333, 0.0000).



# LaTiHN2

LaTiHN2 after structural relaxation (PBE, the Alexandria database).

Its density is 6.0 g cm⁻³.

The structure belongs to space group P4/mmm (No. 123); the cell edges are 4.0496, 4.0496 and 3.6586 Å and the angles 90.00°, 90.00° and 90.00°. The inequivalent atoms are La at (0.0000, 0.0000, 0.0000), Ti at (0.5000, 0.5000, 0.5000), H at (0.5000, 0.5000, 0.0000) and N at (0.0000, 0.5000, 0.5000).



# KV2OsPd

KV2OsPd after structural relaxation (PBE, the Alexandria database).

Its formation energy from the elements is 2.079 eV per atom. Its density is 6.0 g cm⁻³.

The structure belongs to space group P4/mmm (No. 123); the cell edges are 4.7787, 4.7787 and 5.2720 Å and the angles 90.00°, 90.00° and 90.00°. The inequivalent atoms are K at (0.0000, 0.0000, 0.0000), V at (0.0000, 0.5000, 0.5000), Os at (0.5000, 0.5000, 0.0000) and Pd at (0.0000, 0.0000, 0.5000).



# Tb4Sm15Ho

Tb4Sm15Ho after structural relaxation (PBE, the Alexandria database).

Its formation energy from the elements is 0.016 eV per atom. Its density is 7.6 g cm⁻³.

The structure belongs to space group P4/mmm (No. 123); the cell edges are 5.1068, 5.1068 and 25.4901 Å and the angles 90.00°, 90.00° and 90.00°. The inequivalent atoms are Tb at (0.0000, 0.0000, 0.1000), Tb at (0.0000, 0.0000, 0.3002), Sm at (0.0000, 0.5000, 0.0000), Sm at (0.0000, 0.5000, 0.2001), Sm at (0.0000, 0.5000, 0.4004), Sm at (0.5000, 0.5000, 0.1000), Sm at (0.5000, 0.5000, 0.3003), Sm at (0.5000, 0.5000, 0.5000) and Ho at (0.0000, 0.0000, 0.5000).



# ErTmThTl

ErTmThTl after structural relaxation (PBE, the Alexandria database).

Its formation energy from the elements is 0.089 eV per atom. Its density is 11.2 g cm⁻³.

The structure belongs to space group F-43m (No. 216); the cell edges are 7.7030, 7.7030 and 7.7030 Å and the angles 90.00°, 90.00° and 90.00°. The inequivalent atoms are Er at (0.0000, 0.0000, 0.0000), Tm at (0.0000, 0.0000, 0.5000), Th at (0.2500, 0.2500, 0.7500) and Tl at (0.2500, 0.2500, 0.2500).



# FeRu2

FeRu2 after structural relaxation (PBE, the Alexandria database).

Its formation energy from the elements is 0.071 eV per atom. Its density is 11.2 g cm⁻³.

The structure belongs to space group C2/m (No. 12); the cell edges are 9.5447, 2.6682 and 6.2033 Å and the angles 90.00°, 103.85° and 90.00°. The inequivalent atoms are Fe at (0.0294, 0.0000, 0.3096), Ru at (0.1363, 0.5000, 0.0312) and Ru at (0.1879, 0.5000, 0.6350).



# HgTe2Rh

HgTe2Rh after structural relaxation (PBE, the Alexandria database).

Its density is 8.6 g cm⁻³. The value obtained for the energy above the most stable polymorph in this dataset is 69 kJ/mol of formula units. The calculation puts the uncorrected formation energy at -0.09 eV/atom.

The structure belongs to space group Cm (No. 8); the cell edges are 10.3030, 3.8935 and 5.7717 Å and the angles 90.00°, 110.52° and 90.00°. The inequivalent atoms are Hg at (0.0000, 0.0000, 0.0000), Te at (0.1605, 0.0000, 0.6549), Te at (0.3253, 0.0000, 0.3117) and Rh at (0.2359, 0.5000, 0.9859).



# SbAsBr2O

SbAsBr2O after structural relaxation (PBE, the Alexandria database).

Its density is 5.9 g cm⁻³. The value obtained for the energy above the most stable polymorph in this dataset is 0 kJ/mol of formula units. The calculation puts the uncorrected formation energy at 0.44 eV/atom.

The structure belongs to space group P4/mmm (No. 123); the cell edges are 4.7668, 4.7668 and 4.6208 Å and the angles 90.00°, 90.00° and 90.00°. The inequivalent atoms are Sb at (0.0000, 0.0000, 0.0000), As at (0.5000, 0.5000, 0.0000), Br at (0.0000, 0.5000, 0.5000) and O at (0.5000, 0.5000, 0.5000).



Computed total DFT energy (no corrections) (eV/atom) in order:
-5.8648; -7.7483; -5.0722; -4.6788; -4.6160; -8.9338; -3.5783; -2.9713
Computed DOS at the Fermi energy (states/eV per atom) in order:
1.85; 0.20; 1.49; 1.38; 1.80; 0.94; 0.53; 0.44